<1>
This record from the Alexandria database describes SiGe2Pb after structural relaxation. The functional is PBE.

Cell and atoms, written as CIF:
```
data_SiGe2Pb
_chemical_formula_sum 'Si4 Ge8 Pb4'
_space_group_name_H-M_alt 'I -4 2 d'
_space_group_IT_number 122
_space_group_name_Hall 'I -4 2bw'
_cell_length_a 6.015
_cell_length_b 6.015
_cell_length_c 11.835
_cell_angle_alpha 90.00
_cell_angle_beta 90.00
_cell_angle_gamma 90.00
loop_
_atom_site_label
_atom_site_type_symbol
_atom_site_fract_x
_atom_site_fract_y
_atom_site_fract_z
Si1 Si 0.000 0.000 0.000
Ge1 Ge 0.204 0.250 0.125
Pb1 Pb 0.000 0.000 0.500
```

=====

<2>
This record from the Alexandria database describes SiGe2Pb after structural relaxation. The functional is PBE.

Cell and atoms, written as CIF:
```
data_SiGe2Pb
_chemical_formula_sum 'Si4 Ge8 Pb4'
_space_group_name_H-M_alt 'F m -3 m'
_space_group_IT_number 225
_space_group_name_Hall '-F 4 2 3'
_cell_length_a 7.054
_cell_length_b 7.054
_cell_length_c 7.054
_cell_angle_alpha 90.00
_cell_angle_beta 90.00
_cell_angle_gamma 90.00
loop_
_atom_site_label
_atom_site_type_symbol
_atom_site_fract_x
_atom_site_fract_y
_atom_site_fract_z
Si1 Si 0.000 0.000 0.000
Ge1 Ge 0.250 0.250 0.250
Pb1 Pb 0.000 0.000 0.500
```

=====

Computed stability ranking, most favorable first: <1>, <2>

=====

<1>
This record from the Alexandria database describes SmGe2Pb after structural relaxation. The functional is PBE.

Cell and atoms, written as CIF:
```
data_SmGe2Pb
_chemical_formula_sum 'Sm1 Ge2 Pb1'
_space_group_name_H-M_alt 'P 4/m m m'
_space_group_IT_number 123
_space_group_name_Hall '-P 4 2'
_cell_length_a 4.728
_cell_length_b 4.728
_cell_length_c 4.271
_cell_angle_alpha 90.00
_cell_angle_beta 90.00
_cell_angle_gamma 90.00
loop_
_atom_site_label
_atom_site_type_symbol
_atom_site_fract_x
_atom_site_fract_y
_atom_site_fract_z
Sm1 Sm 0.000 0.000 0.000
Ge1 Ge 0.000 0.500 0.500
Pb1 Pb 0.500 0.500 0.000
```

=====

<2>
This record from the Alexandria database describes SmGe2Pb after structural relaxation. The functional is PBE.

Cell and atoms, written as CIF:
```
data_SmGe2Pb
_chemical_formula_sum 'Sm3 Ge6 Pb3'
_space_group_name_H-M_alt 'R -3 m'
_space_group_IT_number 166
_space_group_name_Hall '-R 3 2"'
_cell_length_a 4.8195
_cell_length_b 4.8195
_cell_length_c 21.9519
_cell_angle_alpha 90.00
_cell_angle_beta 90.00
_cell_angle_gamma 120.00
loop_
_atom_site_label
_atom_site_type_symbol
_atom_site_fract_x
_atom_site_fract_y
_atom_site_fract_z
Sm1 Sm 0.0000 0.0000 0.0000
Ge1 Ge 0.0000 0.0000 0.3786
Pb1 Pb 0.0000 0.0000 0.5000
```

=====

Computed stability ranking, most favorable first: <1>, <2>

=====

<1>
This record from the Alexandria database describes SmGePb after structural relaxation. The functional is PBE.

Cell and atoms, written as CIF:
```
data_SmGePb
_chemical_formula_sum 'Sm4 Ge4 Pb4'
_space_group_name_H-M_alt 'C m c m'
_space_group_IT_number 63
_space_group_name_Hall '-C 2c 2'
_cell_length_a 4.478
_cell_length_b 17.264
_cell_length_c 4.100
_cell_angle_alpha 90.00
_cell_angle_beta 90.00
_cell_angle_gamma 90.00
loop_
_atom_site_label
_atom_site_type_symbol
_atom_site_fract_x
_atom_site_fract_y
_atom_site_fract_z
Sm1 Sm 0.000 0.091 0.250
Ge1 Ge 0.000 0.450 0.250
Pb1 Pb 0.000 0.267 0.750
```

=====

<2>
This record from the Alexandria database describes SmGePb after structural relaxation. The functional is PBE.

Cell and atoms, written as CIF:
```
data_SmGePb
_chemical_formula_sum 'Sm1 Ge1 Pb1'
_space_group_name_H-M_alt 'P 3 m 1'
_space_group_IT_number 156
_cell_length_a 4.8990
_cell_length_b 4.8990
_cell_length_c 3.9093
_cell_angle_alpha 90.00
_cell_angle_beta 90.00
_cell_angle_gamma 120.00
loop_
_space_group_symop_operation_xyz
'x,y,z'
'-y,x-y,z'
'-x+y,-x,z'
'-y,-x,z'
'-x+y,y,z'
'x,x-y,z'
loop_
_atom_site_label
_atom_site_type_symbol
_atom_site_fract_x
_atom_site_fract_y
_atom_site_fract_z
Sm1 Sm 0.0000 0.0000 0.0000
Ge1 Ge 0.3333 0.6667 0.3741
Pb1 Pb 0.6667 0.3333 0.5573
```

=====

Computed stability ranking, most favorable first: <1>, <2>

=====

<1>
This record from the Alexandria database describes Sm3Ge2Pb after structural relaxation. The functional is PBE.

Cell and atoms, written as CIF:
```
data_Sm3Ge2Pb
_chemical_formula_sum 'Sm18 Ge12 Pb6'
_space_group_name_H-M_alt 'R -3 c'
_space_group_IT_number 167
_space_group_name_Hall '-R 3 2"c'
_cell_length_a 8.0180
_cell_length_b 8.0180
_cell_length_c 18.9366
_cell_angle_alpha 90.00
_cell_angle_beta 90.00
_cell_angle_gamma 120.00
loop_
_atom_site_label
_atom_site_type_symbol
_atom_site_fract_x
_atom_site_fract_y
_atom_site_fract_z
Sm1 Sm 0.0000 0.3122 0.2500
Ge1 Ge 0.0000 0.0000 0.1612
Pb1 Pb 0.0000 0.0000 0.0000
```

=====

<2>
This record from the Alexandria database describes Sm3Ge2Pb after structural relaxation. The functional is PBE.

Cell and atoms, written as CIF:
```
data_Sm3Ge2Pb
_chemical_formula_sum 'Sm6 Ge4 Pb2'
_space_group_name_H-M_alt 'C m m m'
_space_group_IT_number 65
_space_group_name_Hall '-C 2 2'
_cell_length_a 4.039
_cell_length_b 16.837
_cell_length_c 4.706
_cell_angle_alpha 90.00
_cell_angle_beta 90.00
_cell_angle_gamma 90.00
loop_
_atom_site_label
_atom_site_type_symbol
_atom_site_fract_x
_atom_site_fract_y
_atom_site_fract_z
Sm1 Sm 0.000 0.000 0.000
Sm2 Sm 0.000 0.166 0.500
Ge1 Ge 0.000 0.308 0.000
Pb1 Pb 0.000 0.500 0.500
```

=====

Computed stability ranking, most favorable first: <1>, <2>

=====

<1>
This record from the Alexandria database describes SnGePb3 after structural relaxation. The functional is PBE.

Cell and atoms, written as CIF:
```
data_SnGePb3
_chemical_formula_sum 'Sn1 Ge1 Pb3'
_space_group_name_H-M_alt 'P m -3 m'
_space_group_IT_number 221
_space_group_name_Hall '-P 4 2 3'
_cell_length_a 5.776
_cell_length_b 5.776
_cell_length_c 5.776
_cell_angle_alpha 90.00
_cell_angle_beta 90.00
_cell_angle_gamma 90.00
loop_
_atom_site_label
_atom_site_type_symbol
_atom_site_fract_x
_atom_site_fract_y
_atom_site_fract_z
Sn1 Sn 0.000 0.000 0.000
Ge1 Ge 0.500 0.500 0.500
Pb1 Pb 0.000 0.000 0.500
```

=====

<2>
This record from the Alexandria database describes SnGePb3 after structural relaxation. The functional is PBE.

Cell and atoms, written as CIF:
```
data_SnGePb3
_chemical_formula_sum 'Sn1 Ge1 Pb3'
_space_group_name_H-M_alt 'P m -3 m'
_space_group_IT_number 221
_space_group_name_Hall '-P 4 2 3'
_cell_length_a 5.543
_cell_length_b 5.543
_cell_length_c 5.543
_cell_angle_alpha 90.00
_cell_angle_beta 90.00
_cell_angle_gamma 90.00
loop_
_atom_site_label
_atom_site_type_symbol
_atom_site_fract_x
_atom_site_fract_y
_atom_site_fract_z
Sn1 Sn 0.000 0.000 0.000
Ge1 Ge 0.500 0.500 0.500
Pb1 Pb 0.000 0.500 0.500
```

=====

Computed stability ranking, most favorable first: <2>, <1>

=====

<1>
This record from the Alexandria database describes Sn3GePb after structural relaxation. The functional is PBE.

Cell and atoms, written as CIF:
```
data_Sn3GePb
_chemical_formula_sum 'Sn3 Ge1 Pb1'
_space_group_name_H-M_alt 'P m -3 m'
_space_group_IT_number 221
_space_group_name_Hall '-P 4 2 3'
_cell_length_a 5.746
_cell_length_b 5.746
_cell_length_c 5.746
_cell_angle_alpha 90.00
_cell_angle_beta 90.00
_cell_angle_gamma 90.00
loop_
_atom_site_label
_atom_site_type_symbol
_atom_site_fract_x
_atom_site_fract_y
_atom_site_fract_z
Sn1 Sn 0.000 0.000 0.500
Ge1 Ge 0.500 0.500 0.500
Pb1 Pb 0.000 0.000 0.000
```

=====

<2>
This record from the Alexandria database describes Sn3GePb after structural relaxation. The functional is PBE.

Cell and atoms, written as CIF:
```
data_Sn3GePb
_chemical_formula_sum 'Sn3 Ge1 Pb1'
_space_group_name_H-M_alt 'P m -3 m'
_space_group_IT_number 221
_space_group_name_Hall '-P 4 2 3'
_cell_length_a 5.389
_cell_length_b 5.389
_cell_length_c 5.389
_cell_angle_alpha 90.00
_cell_angle_beta 90.00
_cell_angle_gamma 90.00
loop_
_atom_site_label
_atom_site_type_symbol
_atom_site_fract_x
_atom_site_fract_y
_atom_site_fract_z
Sn1 Sn 0.000 0.000 0.500
Ge1 Ge 0.000 0.000 0.000
Pb1 Pb 0.500 0.500 0.500
```

=====

Computed stability ranking, most favorable first: <2>, <1>

=====

<1>
This record from the Alexandria database describes Sr2Ge2Pb after structural relaxation. The functional is PBE.

Cell and atoms, written as CIF:
```
data_Sr2Ge2Pb
_chemical_formula_sum 'Sr4 Ge4 Pb2'
_space_group_name_H-M_alt 'I 4/m m m'
_space_group_IT_number 139
_space_group_name_Hall '-I 4 2'
_cell_length_a 5.301
_cell_length_b 5.301
_cell_length_c 11.800
_cell_angle_alpha 90.00
_cell_angle_beta 90.00
_cell_angle_gamma 90.00
loop_
_atom_site_label
_atom_site_type_symbol
_atom_site_fract_x
_atom_site_fract_y
_atom_site_fract_z
Sr1 Sr 0.000 0.500 0.250
Ge1 Ge 0.000 0.000 0.099
Pb1 Pb 0.000 0.000 0.500
```

=====

<2>
This record from the Alexandria database describes Sr2Ge2Pb after structural relaxation. The functional is PBE.

Cell and atoms, written as CIF:
```
data_Sr2Ge2Pb
_chemical_formula_sum 'Sr4 Ge4 Pb2'
_space_group_name_H-M_alt 'P 4/m b m'
_space_group_IT_number 127
_space_group_name_Hall '-P 4 2ab'
_cell_length_a 9.339
_cell_length_b 9.339
_cell_length_c 3.479
_cell_angle_alpha 90.00
_cell_angle_beta 90.00
_cell_angle_gamma 90.00
loop_
_atom_site_label
_atom_site_type_symbol
_atom_site_fract_x
_atom_site_fract_y
_atom_site_fract_z
Sr1 Sr 0.131 0.369 0.000
Ge1 Ge 0.173 0.673 0.500
Pb1 Pb 0.000 0.000 0.000
```

=====

Computed stability ranking, most favorable first: <2>, <1>

=====

<1>
This record from the Alexandria database describes Sr2Ge2Pb after structural relaxation. The functional is PBE.

Cell and atoms, written as CIF:
```
data_Sr2Ge2Pb
_chemical_formula_sum 'Sr4 Ge4 Pb2'
_space_group_name_H-M_alt 'P 4/m b m'
_space_group_IT_number 127
_space_group_name_Hall '-P 4 2ab'
_cell_length_a 7.879
_cell_length_b 7.879
_cell_length_c 4.718
_cell_angle_alpha 90.00
_cell_angle_beta 90.00
_cell_angle_gamma 90.00
loop_
_atom_site_label
_atom_site_type_symbol
_atom_site_fract_x
_atom_site_fract_y
_atom_site_fract_z
Sr1 Sr 0.179 0.321 0.000
Ge1 Ge 0.113 0.613 0.500
Pb1 Pb 0.000 0.000 0.500
```

=====

<2>
This record from the Alexandria database describes Sr2Ge2Pb after structural relaxation. The functional is PBE.

Cell and atoms, written as CIF:
```
data_Sr2Ge2Pb
_chemical_formula_sum 'Sr4 Ge4 Pb2'
_space_group_name_H-M_alt 'C m m m'
_space_group_IT_number 65
_space_group_name_Hall '-C 2 2'
_cell_length_a 4.085
_cell_length_b 15.623
_cell_length_c 4.652
_cell_angle_alpha 90.00
_cell_angle_beta 90.00
_cell_angle_gamma 90.00
loop_
_atom_site_label
_atom_site_type_symbol
_atom_site_fract_x
_atom_site_fract_y
_atom_site_fract_z
Sr1 Sr 0.000 0.133 0.000
Ge1 Ge 0.000 0.299 0.500
Pb1 Pb 0.000 0.500 0.500
```

=====

Computed stability ranking, most favorable first: <2>, <1>